Entry 1:
Entry from Alexandria via LeMat-Bulk: a relaxed structure of AcYPaO6 (PBE).

Calculated values
SG   P4_2nm
Uncorrected formation energy   -3.239 eV/atom
N(E_F)   8.8 states/eV/f.u.
M_tot   1.22 μB/cell

Cell lengths 5.2901, 5.2901, 11.0155 Å; angles 90.00, 90.00, 90.00 degrees
Each line ends with the local moment (μB).
Fractional positions:
Ac1 0.5000 0.5000 0.5021  0.02
Ac2 0.0000 0.0000 0.0021  0.02
Y1 0.5000 0.5000 0.8329  0.00
Y2 0.0000 0.0000 0.3329  0.00
Pa1 0.5000 0.5000 0.1677  0.00
Pa2 0.0000 0.0000 0.6677  0.00
O1 0.1747 0.8253 0.5068  0.10
O2 0.8253 0.1747 0.5068  0.10
O3 0.3253 0.3253 0.0068  0.10
O4 0.6747 0.6747 0.0068  0.10
O5 0.2074 0.7926 0.1785  0.08
O6 0.7926 0.2074 0.1785  0.08
O7 0.2926 0.2926 0.6785  0.08
O8 0.7074 0.7074 0.6785  0.08
O9 0.8061 0.1939 0.8133  0.08
O10 0.1939 0.8061 0.8133  0.08
O11 0.6939 0.6939 0.3133  0.08
O12 0.3061 0.3061 0.3133  0.08

Entry 2:
Entry from Alexandria via LeMat-Bulk: a relaxed structure of AcPaZnO5 (PBE).

Calculated values
SG   C2/c
Uncorrected formation energy   -3.004 eV/atom
N(E_F)   0.0 states/eV/f.u.
M_tot   0.00 μB/cell

Cell lengths 6.1391, 6.1391, 7.9824 Å; angles 103.04, 103.04, 108.11 degrees
Fractional positions:
Ac1 0.3368 0.6632 0.2500
Ac2 0.6632 0.3368 0.7500
Pa1 0.0000 0.0000 0.5000
Pa2 0.0000 0.0000 0.0000
Zn1 0.6827 0.3173 0.2500
Zn2 0.3173 0.6827 0.7500
O1 0.0879 0.9121 0.2500
O2 0.9121 0.0879 0.7500
O3 0.9086 0.3140 0.1067
O4 0.0914 0.6860 0.8933
O5 0.6860 0.0914 0.3933
O6 0.3140 0.9086 0.6067
O7 0.7318 0.6390 0.4174
O8 0.2682 0.3610 0.5826
O9 0.3610 0.2682 0.0826
O10 0.6390 0.7318 0.9174

Entry 3:
Entry from Alexandria via LeMat-Bulk: a relaxed structure of Ac2PbO6 (PBE).

Calculated values
SG   Immm
Uncorrected formation energy   -2.012 eV/atom
M_tot   0.00 μB/cell

Cell lengths 4.5164, 5.6547, 6.7280 Å; angles 114.85, 109.61, 90.00 degrees
Fractional positions:
Ac1 0.3294 0.3294 0.6588
Ac2 0.6706 0.6706 0.3412
Pb1 0.0000 0.0000 0.0000
O1 0.8485 0.0976 0.6970
O2 0.1515 0.4006 0.3030
O3 0.1515 0.9024 0.3030
O4 0.5000 0.1380 0.0000
O5 0.8485 0.5994 0.6970
O6 0.5000 0.8620 0.0000

Entry 4:
Entry from Alexandria via LeMat-Bulk: a relaxed structure of Ac4Pb3O4 (PBE).

Calculated values
SG   Amm2
Uncorrected formation energy   -2.208 eV/atom
N(E_F)   5.3 states/eV/f.u.
M_tot   0.00 μB/cell

Cell lengths 4.2633, 8.2962, 8.8424 Å; angles 90.00, 90.00, 104.89 degrees
Fractional positions:
Ac1 0.6709 0.3417 0.7600
Ac2 0.6709 0.3417 0.2400
Ac3 0.0267 0.0534 0.5000
Ac4 0.0104 0.0209 0.0000
Pb1 0.3659 0.7319 0.3220
Pb2 0.3659 0.7319 0.6780
Pb3 0.3076 0.6151 0.0000
O1 0.6083 0.2167 0.5000
O2 0.5879 0.1758 0.0000
O3 0.0920 0.1840 0.7548
O4 0.0920 0.1840 0.2452

Entry 5:
Entry from Alexandria via LeMat-Bulk: a relaxed structure of AcPbO4 (PBE).

Calculated values
SG   I4_1/amd
Offset from the most stable computed form   41 meV/atom
Uncorrected formation energy   -1.595 eV/atom
N(E_F)   5.3 states/eV/f.u.
M_tot   2.06 μB/cell

Cell lengths 5.7238, 5.7238, 6.9485 Å; angles 114.32, 114.32, 90.00 degrees
Each line ends with the local moment (μB).
Fractional positions:
Ac1 0.2500 0.7500 0.5000  0.04
Ac2 0.5000 0.5000 0.0000  0.04
Pb1 0.0000 0.0000 0.0000  -0.03
Pb2 0.7500 0.2500 0.5000  -0.03
O1 0.0980 0.1250 0.7500  0.22
O2 0.8750 0.9020 0.2500  0.22
O3 0.0980 0.6250 0.7500  0.22
O4 0.3750 0.3480 0.2500  0.22
O5 0.6520 0.1250 0.7500  0.22
O6 0.6520 0.6250 0.7500  0.22
O7 0.3750 0.9020 0.2500  0.22
O8 0.8750 0.3480 0.2500  0.22

Entry 6:
Entry from Alexandria via LeMat-Bulk: a relaxed structure of AcPbO2 (PBE).

Calculated values
SG   R-3m
Offset from the most stable computed form   243 meV/atom
Uncorrected formation energy   -1.376 eV/atom
N(E_F)   2.4 states/eV/f.u.
M_tot   0.17 μB/cell

Cell lengths 3.9885, 3.9885, 7.5134 Å; angles 74.61, 74.61, 60.00 degrees
Fractional positions:
Pb1 0.5000 0.5000 0.5000
Ac1 0.0000 0.0000 0.0000
O1 0.1040 0.1040 0.6880
O2 0.8960 0.8960 0.3120

Entry 7:
Entry from Alexandria via LeMat-Bulk: a relaxed structure of Ac2PbO2 (PBE).

Calculated values
SG   I4/mmm
Uncorrected formation energy   -2.455 eV/atom
N(E_F)   5.2 states/eV/f.u.
M_tot   0.20 μB/cell

Cell lengths 4.1928, 4.1928, 8.2222 Å; angles 104.77, 104.77, 90.00 degrees
Fractional positions:
Ac1 0.6657 0.6657 0.3315
Ac2 0.3343 0.3343 0.6685
Pb1 0.0000 0.0000 0.0000
O1 0.7500 0.2500 0.5000
O2 0.2500 0.7500 0.5000

Entry 8:
Entry from Alexandria via LeMat-Bulk: a relaxed structure of Ac3PbO6 (PBE).

Calculated values
SG   R-3
Offset from the most stable computed form   0 meV/atom
Uncorrected formation energy   -2.752 eV/atom
M_tot   0.00 μB/cell

Cell lengths 7.3768, 7.3768, 7.3768 Å; angles 93.45, 93.45, 93.45 degrees
Fractional positions:
Ac1 0.4359 0.9299 0.7440
Ac2 0.9299 0.7440 0.4359
Ac3 0.2560 0.5641 0.0701
Ac4 0.7440 0.4359 0.9299
Ac5 0.0701 0.2560 0.5641
Ac6 0.5641 0.0701 0.2560
Pb1 0.0000 0.0000 0.0000
Pb2 0.5000 0.5000 0.5000
O1 0.3302 0.8946 0.0567
O2 0.1054 0.9433 0.6698
O3 0.5871 0.7932 0.4622
O4 0.9433 0.6698 0.1054
O5 0.4622 0.5871 0.7932
O6 0.2068 0.5378 0.4129
O7 0.7932 0.4622 0.5871
O8 0.5378 0.4129 0.2068
O9 0.0567 0.3302 0.8946
O10 0.4129 0.2068 0.5378
O11 0.8946 0.0567 0.3302
O12 0.6698 0.1054 0.9433

Entry 9:
Entry from Alexandria via LeMat-Bulk: a relaxed structure of Ac3PbO (PBE).

Calculated values
SG   Pm-3m
Offset from the most stable computed form   0 meV/atom
Uncorrected formation energy   -1.253 eV/atom
N(E_F)   2.9 states/eV/f.u.
M_tot   0.00 μB/cell

Cell lengths 5.3293, 5.3293, 5.3293 Å; angles 90.00, 90.00, 90.00 degrees
Fractional positions:
Pb1 0.5000 0.5000 0.5000
Ac1 0.0000 0.5000 0.0000
Ac2 0.0000 0.0000 0.5000
Ac3 0.5000 0.0000 0.0000
O1 0.0000 0.0000 0.0000

Entry 10:
Entry from Alexandria via LeMat-Bulk: a relaxed structure of Ac4Pb3O (PBE).

Calculated values
SG   Pmn2_1
Uncorrected formation energy   -0.892 eV/atom
N(E_F)   2.6 states/eV/f.u.
M_tot   0.13 μB/cell

Cell lengths 6.9271, 10.3850, 8.6799 Å; angles 90.00, 90.00, 90.00 degrees
Fractional positions:
Ac1 0.0592 0.9565 0.0000
Ac2 0.6211 0.2248 0.0000
Ac3 0.0787 0.3188 0.2418
Ac4 0.5787 0.6812 0.2582
Ac5 0.1211 0.7752 0.5000
Ac6 0.5592 0.0435 0.5000
Ac7 0.5787 0.6812 0.7418
Ac8 0.0787 0.3188 0.7582
Pb1 0.5497 0.9204 0.0000
Pb2 0.0724 0.6414 0.1709
Pb3 0.5724 0.3586 0.3291
Pb4 0.0497 0.0796 0.5000
Pb5 0.5724 0.3586 0.6709
Pb6 0.0724 0.6414 0.8291
O1 0.9831 0.2124 0.0000
O2 0.4831 0.7876 0.5000

Entry 11:
Entry from Alexandria via LeMat-Bulk: a relaxed structure of AcPbO3 (PBE).

Calculated values
SG   C2/c
Uncorrected formation energy   -2.132 eV/atom
M_tot   0.00 μB/cell

Cell lengths 6.4514, 6.4514, 10.6706 Å; angles 71.44, 71.44, 58.58 degrees
Fractional positions:
Ac1 0.9633 0.3250 0.8683
Ac2 0.6750 0.0367 0.6317
Ac3 0.0367 0.6750 0.1317
Ac4 0.3250 0.9633 0.3683
Pb1 0.0000 0.5000 0.5000
Pb2 0.5000 0.0000 0.0000
Pb3 0.7111 0.2889 0.2500
Pb4 0.2889 0.7111 0.7500
O1 0.8522 0.7611 0.8790
O2 0.2389 0.1478 0.6210
O3 0.1478 0.2389 0.1210
O4 0.7611 0.8522 0.3790
O5 0.7204 0.5994 0.6840
O6 0.4006 0.2796 0.8160
O7 0.2796 0.4006 0.3160
O8 0.5994 0.7204 0.1840
O9 0.2806 0.8594 0.9525
O10 0.1406 0.7194 0.5475
O11 0.8594 0.2806 0.4525
O12 0.7194 0.1406 0.0475

Entry 12:
Entry from Alexandria via LeMat-Bulk: a relaxed structure of AcPb2O5 (PBE).

Calculated values
SG   Cmcm
Uncorrected formation energy   -1.656 eV/atom
N(E_F)   1.2 states/eV/f.u.
M_tot   0.00 μB/cell

Cell lengths 4.2393, 6.4337, 10.8679 Å; angles 90.00, 90.00, 109.24 degrees
Fractional positions:
Ac1 0.4031 0.8062 0.7500
Ac2 0.5969 0.1938 0.2500
Pb1 0.8629 0.7257 0.4441
Pb2 0.8629 0.7257 0.0559
Pb3 0.1371 0.2743 0.5559
Pb4 0.1371 0.2743 0.9441
O1 0.9600 0.9200 0.8739
O2 0.9600 0.9200 0.6261
O3 0.3297 0.6593 0.5053
O4 0.3297 0.6593 0.9947
O5 0.7981 0.5963 0.2500
O6 0.2019 0.4037 0.7500
O7 0.6703 0.3407 0.4947
O8 0.6703 0.3407 0.0053
O9 0.0400 0.0800 0.1261
O10 0.0400 0.0800 0.3739

Entry 13:
Entry from Alexandria via LeMat-Bulk: a relaxed structure of Ac3Pb2O2 (PBE).

Calculated values
SG   C2/m
Uncorrected formation energy   -1.887 eV/atom
N(E_F)   2.4 states/eV/f.u.
M_tot   0.00 μB/cell

Cell lengths 4.2420, 7.0977, 8.1830 Å; angles 63.16, 74.98, 72.61 degrees
Fractional positions:
Ac1 0.0000 0.0000 0.0000
Ac2 0.7928 0.6440 0.7705
Ac3 0.2072 0.3560 0.2295
Pb1 0.5512 0.2625 0.6350
Pb2 0.4488 0.7375 0.3650
O1 0.8013 0.3205 0.0769
O2 0.1987 0.6795 0.9231

Entry 14:
Entry from Alexandria via LeMat-Bulk: a relaxed structure of Ac2PbO5 (PBE).

Calculated values
SG   Pbam
Uncorrected formation energy   -2.419 eV/atom
M_tot   0.00 μB/cell

Cell lengths 6.8476, 7.1884, 10.1977 Å; angles 90.00, 90.00, 90.00 degrees
Fractional positions:
Ac1 0.4436 0.5000 0.8333
Ac2 0.5564 0.5000 0.1667
Ac3 0.9436 0.5000 0.6667
Ac4 0.5564 0.0000 0.1667
Ac5 0.0564 0.5000 0.3333
Ac6 0.4436 0.0000 0.8333
Ac7 0.0564 0.0000 0.3333
Ac8 0.9436 0.0000 0.6667
Pb1 0.5000 0.2500 0.5000
Pb2 0.5000 0.7500 0.5000
Pb3 0.0000 0.7500 0.0000
Pb4 0.0000 0.2500 0.0000
O1 0.0000 0.2500 0.5000
O2 0.0000 0.7500 0.5000
O3 0.5000 0.7500 0.0000
O4 0.5000 0.2500 0.0000
O5 0.3245 0.0000 0.5755
O6 0.6755 0.0000 0.4245
O7 0.8245 0.0000 0.9245
O8 0.6755 0.5000 0.4245
O9 0.1755 0.0000 0.0755
O10 0.3245 0.5000 0.5755
O11 0.1755 0.5000 0.0755
O12 0.8245 0.5000 0.9245
O13 0.1494 0.2500 0.8057
O14 0.8506 0.7500 0.1943
O15 0.6494 0.7500 0.6943
O16 0.3506 0.2500 0.3057
O17 0.6494 0.2500 0.6943
O18 0.3506 0.7500 0.3057
O19 0.1494 0.7500 0.8057
O20 0.8506 0.2500 0.1943

Entry 15:
Entry from Alexandria via LeMat-Bulk: a relaxed structure of AcPbO2 (PBE).

Calculated values
SG   P4/mmm
Offset from the most stable computed form   0 meV/atom
Uncorrected formation energy   -1.619 eV/atom
N(E_F)   1.1 states/eV/f.u.
M_tot   0.00 μB/cell

Cell lengths 3.2486, 3.2486, 7.3951 Å; angles 90.00, 90.00, 90.00 degrees
Fractional positions:
Pb1 0.5000 0.5000 0.0000
Ac1 0.5000 0.5000 0.5000
O1 0.0000 0.0000 0.6805
O2 0.0000 0.0000 0.3195

Entry 16:
Entry from Alexandria via LeMat-Bulk: a relaxed structure of Ac3PbO6 (PBE).

Calculated values
SG   Cmc2_1
Offset from the most stable computed form   7 meV/atom
Uncorrected formation energy   -2.745 eV/atom
N(E_F)   1.6 states/eV/f.u.
M_tot   0.00 μB/cell

Cell lengths 6.1380, 7.9121, 7.9121 Å; angles 102.34, 90.00, 90.00 degrees
Fractional positions:
Ac1 0.4723 0.9105 0.6887
Ac2 0.9723 0.6887 0.9105
Ac3 0.4268 0.3973 0.6027
Ac4 0.9268 0.6027 0.3973
Ac5 0.9723 0.0895 0.3113
Ac6 0.4723 0.3113 0.0895
Pb1 0.9885 0.1618 0.8382
Pb2 0.4885 0.8382 0.1618
O1 0.2000 0.6711 0.6473
O2 0.7000 0.6473 0.6711
O3 0.1730 0.4105 0.8992
O4 0.6730 0.8992 0.4105
O5 0.2399 0.0155 0.9845
O6 0.6395 0.2240 0.7760
O7 0.1395 0.7760 0.2240
O8 0.7399 0.9845 0.0155
O9 0.1730 0.1008 0.5895
O10 0.6730 0.5895 0.1008
O11 0.2000 0.3527 0.3289
O12 0.7000 0.3289 0.3527

Entry 17:
Entry from Alexandria via LeMat-Bulk: a relaxed structure of Ac3PbO (PBE).

Calculated values
SG   P2_1/c
Offset from the most stable computed form   34 meV/atom
Uncorrected formation energy   -1.219 eV/atom
N(E_F)   3.8 states/eV/f.u.
M_tot   0.00 μB/cell

Cell lengths 7.1573, 10.6068, 9.4383 Å; angles 92.84, 90.00, 90.00 degrees
Fractional positions:
Ac1 0.1544 0.7290 0.6115
Ac2 0.8456 0.2710 0.3885
Ac3 0.6544 0.7710 0.8885
Ac4 0.3456 0.2290 0.1115
Ac5 0.6615 0.6337 0.4529
Ac6 0.3385 0.3663 0.5471
Ac7 0.1615 0.8663 0.0471
Ac8 0.8385 0.1337 0.9529
Ac9 0.1679 0.5525 0.2276
Ac10 0.8321 0.4475 0.7724
Ac11 0.6679 0.9475 0.2724
Ac12 0.3321 0.0525 0.7276
Pb1 0.8099 0.9812 0.6210
Pb2 0.1901 0.0188 0.3790
Pb3 0.3099 0.5188 0.8790
Pb4 0.6901 0.4812 0.1210
O1 0.3334 0.5802 0.4537
O2 0.6666 0.4198 0.5463
O3 0.8334 0.9198 0.0463
O4 0.1666 0.0802 0.9537

Entry 18:
Entry from Alexandria via LeMat-Bulk: a relaxed structure of Ac3Pb2O (PBE).

Calculated values
SG   C2/c
Uncorrected formation energy   -1.241 eV/atom
N(E_F)   3.2 states/eV/f.u.
M_tot   0.00 μB/cell

Cell lengths 6.9683, 9.1940, 7.5290 Å; angles 100.09, 117.57, 90.00 degrees
Fractional positions:
Ac1 0.3678 0.2500 0.0000
Ac2 0.6322 0.7500 0.0000
Ac3 0.0302 0.1684 0.2850
Ac4 0.7452 0.3316 0.7150
Ac5 0.2548 0.6684 0.2850
Ac6 0.9698 0.8316 0.7150
Pb1 0.7671 0.5135 0.3243
Pb2 0.5571 0.0135 0.3243
Pb3 0.4429 0.9865 0.6757
Pb4 0.2329 0.4865 0.6757
O1 0.9700 0.7500 0.0000
O2 0.0300 0.2500 0.0000

Entry 19:
Entry from Alexandria via LeMat-Bulk: a relaxed structure of AcPb2O4 (PBE).

Calculated values
SG   C2/c
Uncorrected formation energy   -1.610 eV/atom
N(E_F)   2.8 states/eV/f.u.
M_tot   1.52 μB/cell

Cell lengths 6.8017, 6.6444, 7.1065 Å; angles 112.98, 113.79, 99.26 degrees
Each line ends with the local moment (μB).
Fractional positions:
Ac1 0.7473 0.2473 0.4946  0.01
Ac2 0.5027 0.5027 0.0054  0.01
Pb1 0.1250 0.8750 0.7500  0.00
Pb2 0.6250 0.8750 0.7500  0.00
Pb3 0.1250 0.8750 0.2500  0.12
Pb4 0.1250 0.3750 0.2500  0.12
O1 0.8592 0.8690 0.3598  0.12
O2 0.2068 0.5156 0.6291  0.11
O3 0.4223 0.1136 0.6291  0.11
O4 0.7494 0.2592 0.1402  0.12
O5 0.8277 0.6364 0.8709  0.11
O6 0.0432 0.2344 0.8709  0.11
O7 0.5006 0.4908 0.3598  0.12
O8 0.3908 0.8810 0.1402  0.12

The records above give, respectively, calculated volume values of 17.13 16.50 16.10 27.48 15.42 24.63 26.96 19.96 30.27 39.03 17.64 17.49 29.65 15.69 19.51 18.77 35.78 34.93 17.89 Å³ per atom.